No. 1
The following is a DFT calculation (PBE) of crystalline Nd2Y5Tm12 at its relaxed geometry.

Cell lengths 6.116, 9.350, 10.587 Å; angles 100.99, 95.57, 90.08 degrees
Space group P-1 (No. 2)
One atom of each set of equivalent atoms:
Nd  0.081  0.316  0.473 (multiplicity 2)
Y  0.237  0.947  0.420 (multiplicity 2)
Y  0.341  0.369  0.053 (multiplicity 2)
Y  0.500  0.000  0.000 (multiplicity 1)
Tm  0.024  0.104  0.156 (multiplicity 2)
Tm  0.132  0.526  0.790 (multiplicity 2)
Tm  0.183  0.737  0.104 (multiplicity 2)
Tm  0.291  0.159  0.739 (multiplicity 2)
Tm  0.395  0.579  0.367 (multiplicity 2)
Tm  0.446  0.790  0.685 (multiplicity 2)

Summary:
The value obtained for the total DFT energy (no corrections) is -94.99 eV for the cell shown. The value obtained for the mass density is 7.751 g/cm³.

No. 2
The following is a DFT calculation (PBE) of crystalline Nd3Y8Tm at its relaxed geometry.

Cell lengths 8.788, 8.788, 11.425 Å; angles 90.00, 90.00, 90.00 degrees
Space group I-42m (No. 121)
One atom of each set of equivalent atoms:
Nd  0.000  0.000  0.000 (multiplicity 2)
Nd  0.000  0.500  0.250 (multiplicity 4)
Y  0.126  0.126  0.255 (multiplicity 8)
Y  0.243  0.243  0.513 (multiplicity 8)
Tm  0.000  0.000  0.500 (multiplicity 2)

Summary:
The value obtained for the total DFT energy (no corrections) is -125.95 eV for the cell shown. The value obtained for the mass density is 4.942 g/cm³.

No. 3
The following is a DFT calculation (PBE) of crystalline Nd4Y5Tm2 at its relaxed geometry.

Cell lengths 23.926, 3.519, 8.982 Å; angles 90.00, 98.85, 90.00 degrees
Space group C2/m (No. 12)
One atom of each set of equivalent atoms:
Nd  0.026  0.000  0.187 (multiplicity 4)
Nd  0.130  0.500  0.035 (multiplicity 4)
Y  0.000  0.500  0.500 (multiplicity 2)
Y  0.175  0.000  0.402 (multiplicity 4)
Y  0.232  0.000  0.823 (multiplicity 4)
Tm  0.101  0.000  0.699 (multiplicity 4)

Summary:
The value obtained for the total DFT energy (no corrections) is -115.92 eV for the cell shown. The value obtained for the mass density is 6.042 g/cm³.

Per-record calculated formation energy, meV/atom: 28, 626, 216
Per-record spin magnetization, μB per cell: 0.00, 0.04, 0.00